This record from Alexandria describes a relaxed structure of KAc2TiO5. The functional is GGA-PBE.

Cell lengths 5.9946, 7.2278, 7.2278 Å; angles 90.00, 90.00, 90.00 degrees
With the nearest neighbours (Å) after each atom.
Sites, in units of the cell vectors:
O 0.2373 0.6286 0.8714  1 Ti 1.94
O 0.7627 0.8714 0.3714  1 Ti 1.94
O 0.5000 0.0000 0.0000  4 Ac 2.65
O 0.2373 0.1286 0.6286  1 Ti 1.94
O 0.7627 0.6286 0.8714  1 Ti 1.94
O 0.5000 0.5000 0.5000  4 Ac 2.65
O 0.7627 0.1286 0.6286  1 Ti 1.94
O 0.2373 0.3714 0.1286  1 Ti 1.94
O 0.7627 0.3714 0.1286  1 Ti 1.94
O 0.2373 0.8714 0.3714  1 Ti 1.94
K 0.0000 0.0000 0.0000  10 O 3.00-3.18
K 0.0000 0.5000 0.5000  10 O 3.00-3.18
Ac 0.5000 0.6813 0.1813  8 O 2.50-2.77
Ac 0.5000 0.1813 0.3187  8 O 2.50-2.77
Ac 0.5000 0.8187 0.6813  8 O 2.50-2.77
Ac 0.5000 0.3187 0.8187  8 O 2.50-2.77
Ti 0.0000 0.0000 0.5000  4 O 1.94
Ti 0.0000 0.5000 0.0000  4 O 1.94

* E_form (uncorrected): -2.803 eV/atom


This record from Alexandria describes a relaxed structure of K3Ac2TiO6. The functional is GGA-PBE.

Cell lengths 6.2983, 6.2983, 6.6219 Å; angles 98.66, 98.66, 120.32 degrees
With the nearest neighbours (Å) after each atom.
Sites, in units of the cell vectors:
K 0.1505 0.8495 0.5000  4 O 2.72-2.77
K 0.5000 0.5000 0.5000  6 O 2.84-3.03
K 0.8495 0.1505 0.5000  4 O 2.72-2.77
O 0.3420 0.0576 0.1797  1 Ti 2.12
O 0.2362 0.2362 0.8159  1 Ti 2.18
O 0.6580 0.9424 0.8203  1 Ti 2.12
O 0.9424 0.6580 0.8203  1 Ti 2.12
O 0.0576 0.3420 0.1797  1 Ti 2.12
O 0.7638 0.7638 0.1841  1 Ti 2.18
Ac 0.6668 0.3332 0.0000  6 O 2.51-2.54
Ac 0.3332 0.6668 0.0000  6 O 2.51-2.54
Ti 0.0000 0.0000 0.0000  6 O 2.12-2.18

* D(E_F): 4.4 states/eV/f.u.
* E_form (uncorrected): -2.386 eV/atom


This record from Alexandria describes a relaxed structure of KAcTiO4. The functional is GGA-PBE.

Cell lengths 6.5098, 6.1024, 7.8113 Å; angles 90.00, 92.44, 90.00 degrees
With the nearest neighbours (Å) after each atom.
Sites, in units of the cell vectors:
O 0.4826 0.2500 0.8022  1 Ti 1.83
O 0.4405 0.7500 0.5508  1 Ti 1.80
O 0.1226 0.5177 0.3393  1 Ti 1.85
O 0.5174 0.7500 0.1978  1 Ti 1.83
O 0.5595 0.2500 0.4492  1 Ti 1.80
O 0.8774 0.4823 0.6607  1 Ti 1.85
O 0.8774 0.0177 0.6607  1 Ti 1.85
O 0.1226 0.9823 0.3393  1 Ti 1.85
K 0.6128 0.7500 0.8699  4 O 2.66-2.92
K 0.3872 0.2500 0.1301  4 O 2.66-2.92
Ti 0.6947 0.2500 0.6550  4 O 1.80-1.85
Ti 0.3053 0.7500 0.3450  4 O 1.80-1.85
Ac 0.1951 0.2500 0.5746  6 O 2.49-2.62
Ac 0.8049 0.7500 0.4254  6 O 2.49-2.62

* D(E_F): 0.0 states/eV/f.u.
* E_form (uncorrected): -2.904 eV/atom